1.
An optimized crystal structure of BaSbSe2Br, computed with GGA-PBE.

Computed properties:
**E**: -2.826 eV/atom

Structure (CIF):
```
data_BaSbSe2Br
_cell_length_a 6.102
_cell_length_b 6.102
_cell_length_c 5.915
_cell_angle_alpha 90.00
_cell_angle_beta 90.00
_cell_angle_gamma 90.00
_symmetry_space_group_name_H-M 'P 4/m m m'
_symmetry_Int_Tables_number 123
_symmetry_space_group_name_Hall '-P 4 2'
loop_
_atom_site_label
_atom_site_type_symbol
_atom_site_fract_x
_atom_site_fract_y
_atom_site_fract_z
Ba1 Ba 0.000 0.000 0.000
Sb1 Sb 0.500 0.500 0.500
Se1 Se 0.000 0.500 0.000
Br1 Br 0.000 0.000 0.500
```

***

2.
An optimized crystal structure of CsSrErBr6, computed with GGA-PBE.

Computed properties:
**E**: -3.877 eV/atom

Structure (CIF):
```
data_CsSrErBr6
_cell_length_a 7.7132
_cell_length_b 7.7132
_cell_length_c 7.8967
_cell_angle_alpha 90.00
_cell_angle_beta 90.00
_cell_angle_gamma 120.00
_symmetry_space_group_name_H-M 'P 3 1 2'
_symmetry_Int_Tables_number 149
loop_
_symmetry_equiv_pos_as_xyz
'x,y,z'
'-y,x-y,z'
'-x+y,-x,z'
'-y,-x,-z'
'-x+y,y,-z'
'x,x-y,-z'
loop_
_atom_site_label
_atom_site_type_symbol
_atom_site_fract_x
_atom_site_fract_y
_atom_site_fract_z
Cs1 Cs 0.0000 0.0000 0.0000
Sr1 Sr 0.3333 0.6667 0.5000
Er1 Er 0.6667 0.3333 0.5000
Br1 Br 0.3878 0.0264 0.7078
```

***

3.
An optimized crystal structure of DyCu2, computed with GGA-PBE.

Computed properties:
**Energy of formation**: -0.275 eV/atom
**E**: -4.540 eV/atom

Structure (CIF):
```
data_DyCu2
_cell_length_a 4.285
_cell_length_b 6.833
_cell_length_c 7.332
_cell_angle_alpha 90.00
_cell_angle_beta 90.00
_cell_angle_gamma 90.00
_symmetry_space_group_name_H-M 'I m m a'
_symmetry_Int_Tables_number 74
_symmetry_space_group_name_Hall '-I 2b 2'
loop_
_atom_site_label
_atom_site_type_symbol
_atom_site_fract_x
_atom_site_fract_y
_atom_site_fract_z
Dy1 Dy 0.000 0.250 0.044
Cu1 Cu 0.000 0.053 0.665
```

***

4.
An optimized crystal structure of TiHg2PdBr, computed with GGA-PBE.

Computed properties:
**E**: -2.909 eV/atom

Structure (CIF):
```
data_TiHg2PdBr
_cell_length_a 5.254
_cell_length_b 5.254
_cell_length_c 4.834
_cell_angle_alpha 90.00
_cell_angle_beta 90.00
_cell_angle_gamma 90.00
_symmetry_space_group_name_H-M 'P 4/m m m'
_symmetry_Int_Tables_number 123
_symmetry_space_group_name_Hall '-P 4 2'
loop_
_atom_site_label
_atom_site_type_symbol
_atom_site_fract_x
_atom_site_fract_y
_atom_site_fract_z
Ti1 Ti 0.000 0.000 0.000
Hg1 Hg 0.000 0.500 0.500
Pd1 Pd 0.000 0.000 0.500
Br1 Br 0.500 0.500 0.000
```

***

5.
An optimized crystal structure of CrCo2Ru, computed with GGA-PBE.

Computed properties:
**Energy of formation**: 0.052 eV/atom
**E**: -8.226 eV/atom

Structure (CIF):
```
data_CrCo2Ru
_cell_length_a 3.571
_cell_length_b 3.571
_cell_length_c 3.660
_cell_angle_alpha 90.00
_cell_angle_beta 90.00
_cell_angle_gamma 90.00
_symmetry_space_group_name_H-M 'P 4/m m m'
_symmetry_Int_Tables_number 123
_symmetry_space_group_name_Hall '-P 4 2'
loop_
_atom_site_label
_atom_site_type_symbol
_atom_site_fract_x
_atom_site_fract_y
_atom_site_fract_z
Cr1 Cr 0.000 0.000 0.000
Co1 Co 0.000 0.500 0.500
Ru1 Ru 0.500 0.500 0.000
```

***

6.
An optimized crystal structure of Li3Tl2Sn3, computed with GGA-PBE.

Computed properties:
**Energy of formation**: -0.191 eV/atom
**E**: -3.002 eV/atom

Structure (CIF):
```
data_Li3Tl2Sn3
_cell_length_a 4.508
_cell_length_b 4.598
_cell_length_c 18.381
_cell_angle_alpha 90.00
_cell_angle_beta 90.00
_cell_angle_gamma 90.00
_symmetry_space_group_name_H-M 'I m m m'
_symmetry_Int_Tables_number 71
_symmetry_space_group_name_Hall '-I 2 2'
loop_
_atom_site_label
_atom_site_type_symbol
_atom_site_fract_x
_atom_site_fract_y
_atom_site_fract_z
Li1 Li 0.000 0.000 0.000
Li2 Li 0.000 0.500 0.115
Tl1 Tl 0.000 0.000 0.249
Sn1 Sn 0.000 0.000 0.500
Sn2 Sn 0.000 0.500 0.386
```